Material: Cu2ReF8
Method: DFT, PBE-GGA
State: optimized geometry

Results
The symmetry is I-4 (82). For the uncorrected energy, the calculation gives -4.783 eV per atom.

Lattice parameters (Å, degrees): 6.142 6.142 6.142 134.68 134.68 66.02
Atoms (fractional coordinates):
1 Cu 0.676 0.676 0.000
2 Cu 0.324 0.324 0.000
3 Re 0.000 0.000 0.000
4 F 0.722 0.260 0.107
5 F 0.385 0.278 0.538
6 F 0.052 0.986 0.357
7 F 0.629 0.695 0.643
8 F 0.014 0.371 0.066
9 F 0.740 0.847 0.462
10 F 0.153 0.615 0.893
11 F 0.305 0.948 0.934